Y4ErMg3 after structural relaxation, computed with PBE.

Properties
Energy of formation = -30 meV/atom

Geometry as CIF:
```
data_Y4ErMg3
_symmetry_space_group_name_H-M 'P m m m'
_symmetry_Int_Tables_number 47
_cell_length_a 3.8362
_cell_length_b 5.4296
_cell_length_c 10.9892
_cell_angle_alpha 90.00
_cell_angle_beta 90.00
_cell_angle_gamma 90.00
loop_
_symmetry_equiv_pos_as_xyz
'x,y,z'
'-x,-y,-z'
'-x,-y,z'
'x,y,-z'
'x,-y,-z'
'-x,y,z'
'-x,y,-z'
'x,-y,z'
loop_
_atom_site_label
_atom_site_type_symbol
_atom_site_fract_x
_atom_site_fract_y
_atom_site_fract_z
Y1 Y 0.0000 0.0000 0.0000
Y2 Y 0.0000 0.0000 0.5000
Y3 Y 0.0000 0.5000 0.2391
Er1 Er 0.5000 0.5000 0.5000
Mg1 Mg 0.5000 0.0000 0.2495
Mg2 Mg 0.5000 0.5000 0.0000
```

---

HoEr2PuSe4 after structural relaxation, computed with PBE.

Properties
Formation energy (no corrections) = -1.68 eV/atom

Geometry as CIF:
```
data_HoEr2PuSe4
_symmetry_space_group_name_H-M 'P 1 2/m 1'
_symmetry_Int_Tables_number 10
_cell_length_a 7.0503
_cell_length_b 4.0472
_cell_length_c 7.0540
_cell_angle_alpha 90.00
_cell_angle_beta 109.12
_cell_angle_gamma 90.00
loop_
_symmetry_equiv_pos_as_xyz
'x,y,z'
'-x,-y,-z'
'-x,y,-z'
'x,-y,z'
loop_
_atom_site_label
_atom_site_type_symbol
_atom_site_fract_x
_atom_site_fract_y
_atom_site_fract_z
Ho1 Ho 0.0000 0.0000 0.0000
Er1 Er 0.0000 0.5000 0.5000
Er2 Er 0.5000 0.0000 0.5000
Pu1 Pu 0.5000 0.5000 0.0000
Se1 Se 0.2449 0.0000 0.7437
Se2 Se 0.2482 0.5000 0.2541
```

---

CsTl3Te after structural relaxation, computed with PBE.

Properties
Offset from the most stable computed form = 0.00 kcal/mol of atoms
Formation energy (no corrections) = 0.01 eV/atom

Geometry as CIF:
```
data_CsTl3Te
_symmetry_space_group_name_H-M 'P m -3 m'
_symmetry_Int_Tables_number 221
_symmetry_space_group_name_Hall '-P 4 2 3'
_cell_length_a 6.4805
_cell_length_b 6.4805
_cell_length_c 6.4805
_cell_angle_alpha 90.00
_cell_angle_beta 90.00
_cell_angle_gamma 90.00
loop_
_atom_site_label
_atom_site_type_symbol
_atom_site_fract_x
_atom_site_fract_y
_atom_site_fract_z
Cs1 Cs 0.0000 0.0000 0.0000
Tl1 Tl 0.0000 0.5000 0.5000
Te1 Te 0.5000 0.5000 0.5000
```

---

MgPd5Au6 after structural relaxation, computed with PBE.

Properties
Offset from the most stable computed form = 0.00 kcal/mol of atoms
Energy of formation = -234 meV/atom

Geometry as CIF:
```
data_MgPd5Au6
_symmetry_space_group_name_H-M 'C 1 2/m 1'
_symmetry_Int_Tables_number 12
_cell_length_a 4.1011
_cell_length_b 12.2244
_cell_length_c 8.0071
_cell_angle_alpha 90.00
_cell_angle_beta 90.22
_cell_angle_gamma 90.00
loop_
_symmetry_equiv_pos_as_xyz
'x,y,z'
'-x,-y,-z'
'-x,y,-z'
'x,-y,z'
'x+1/2,y+1/2,z'
'-x+1/2,-y+1/2,-z'
'-x+1/2,y+1/2,-z'
'x+1/2,-y+1/2,z'
loop_
_atom_site_label
_atom_site_type_symbol
_atom_site_fract_x
_atom_site_fract_y
_atom_site_fract_z
Mg1 Mg 0.0000 0.0000 0.0000
Pd1 Pd 0.0000 0.0000 0.5000
Pd2 Pd 0.0000 0.3339 0.5000
Pd3 Pd 0.0000 0.3361 0.0000
Au1 Au 0.0001 0.1670 0.2498
Au2 Au 0.0002 0.5000 0.2507
```

---

SmZrHgPd after structural relaxation, computed with PBE.

Properties
Energy of formation = -360 meV/atom

Geometry as CIF:
```
data_SmZrHgPd
_symmetry_space_group_name_H-M 'F -4 3 m'
_symmetry_Int_Tables_number 216
_symmetry_space_group_name_Hall 'F -4 2 3'
_cell_length_a 7.1304
_cell_length_b 7.1304
_cell_length_c 7.1304
_cell_angle_alpha 90.00
_cell_angle_beta 90.00
_cell_angle_gamma 90.00
loop_
_atom_site_label
_atom_site_type_symbol
_atom_site_fract_x
_atom_site_fract_y
_atom_site_fract_z
Sm1 Sm 0.0000 0.0000 0.0000
Zr1 Zr 0.0000 0.0000 0.5000
Hg1 Hg 0.2500 0.2500 0.2500
Pd1 Pd 0.2500 0.2500 0.7500
```

---

RbCoSe2N after structural relaxation, computed with PBE.

Properties
Offset from the most stable computed form = 0.00 kcal/mol of atoms
Formation energy (no corrections) = 0.16 eV/atom

Geometry as CIF:
```
data_RbCoSe2N
_symmetry_space_group_name_H-M 'P 4/m m m'
_symmetry_Int_Tables_number 123
_symmetry_space_group_name_Hall '-P 4 2'
_cell_length_a 5.4956
_cell_length_b 5.4956
_cell_length_c 3.4118
_cell_angle_alpha 90.00
_cell_angle_beta 90.00
_cell_angle_gamma 90.00
loop_
_atom_site_label
_atom_site_type_symbol
_atom_site_fract_x
_atom_site_fract_y
_atom_site_fract_z
Rb1 Rb 0.0000 0.0000 0.0000
Co1 Co 0.5000 0.5000 0.5000
Se1 Se 0.0000 0.5000 0.5000
N1 N 0.5000 0.5000 0.0000
```